[1]
First-principles (PBE-GGA) data for an optimized crystal structure of YAgAs2Pb, as listed in Alexandria via LeMat-Bulk.

## Properties
The calculated volume comes out at 138.0 Å³/cell. Its calculated total energy is -4.18 eV per atom. The calculation puts the total moment at 0.00 Bohr magnetons per cell. The density of states at the Fermi level is 2.8 states/eV per cell.

Cell lengths 4.9872, 4.9872, 5.5484 Å; angles 90.00, 90.00, 90.00 degrees
Closest atoms and distances in Å follow each position.
Space group P4/mmm (No. 123)
Unique sites:
Y  0.0000  0.0000  0.0000 [1 per cell]  2 Ag 2.77
Ag  0.0000  0.0000  0.5000 [1 per cell]  4 As 2.49, 2 Y 2.77
As  0.0000  0.5000  0.5000 [2 per cell]  2 Ag 2.49
Pb  0.5000  0.5000  0.0000 [1 per cell]  4 Y 3.53, 8 As 3.73

[2]
First-principles (PBE-GGA) data for an optimized crystal structure of AgAsPd2, as listed in Alexandria via LeMat-Bulk.

## Properties
The calculated volume comes out at 199.7 Å³/cell. Its calculated total energy is -4.61 eV per atom. The calculation puts the total moment at 0.00 Bohr magnetons per cell. The density of states at the Fermi level is 4.2 states/eV per cell.

Cell lengths 3.0238, 3.0238, 25.2244 Å; angles 90.00, 90.00, 120.00 degrees
Closest atoms and distances in Å follow each position.
Space group R3m (No. 160, hexagonal axes)
Unique sites:
Ag  0.0000  0.0000  0.0000 [3 per cell]  6 Pd 2.89, 6 Ag 3.02
As  0.0000  0.0000  0.8331 [3 per cell]  6 Pd 2.58-2.59
Pd  0.0000  0.0000  0.2421 [3 per cell]  3 As 2.59, 3 Ag 2.89
Pd  0.0000  0.0000  0.4245 [3 per cell]  3 As 2.58, 3 Ag 2.89

[3]
First-principles (PBE-GGA) data for an optimized crystal structure of AgAs2Pd4, as listed in Alexandria via LeMat-Bulk.

## Properties
The calculated volume comes out at 466.0 Å³/cell. Its calculated total energy is -4.99 eV per atom. The calculation puts the total moment at 0.00 Bohr magnetons per cell. The density of states at the Fermi level is 11.2 states/eV per cell.

Cell lengths 16.8669, 4.1133, 6.7161 Å; angles 90.00, 90.00, 90.00 degrees
Closest atoms and distances in Å follow each position.
Space group Pnma (No. 62)
Unique sites:
Ag  0.1490  0.2500  0.1140 [4 per cell]  7 Pd 2.79-3.02, 2 As 3.06
As  0.0393  0.7500  0.7539 [4 per cell]  7 Pd 2.52-2.65
As  0.2168  0.2500  0.6149 [4 per cell]  7 Pd 2.51-2.61
Pd  0.0370  0.7500  0.1295 [4 per cell]  3 As 2.52-2.55, 2 Ag 2.79
Pd  0.0673  0.2500  0.5150 [4 per cell]  4 As 2.55-2.65
Pd  0.1845  0.7500  0.3966 [4 per cell]  3 As 2.52-2.58
Pd  0.1854  0.7500  0.8339 [4 per cell]  4 As 2.51-2.58

[4]
First-principles (PBE-GGA) data for an optimized crystal structure of AgAsPd14, as listed in Alexandria via LeMat-Bulk.

## Properties
The calculated volume comes out at 500.3 Å³/cell. Its calculated total energy is -5.06 eV per atom. The calculation puts the total moment at 0.00 Bohr magnetons per cell. The density of states at the Fermi level is 56.8 states/eV per cell.

Cell lengths 9.1718, 5.6945, 9.5782 Å; angles 90.00, 90.00, 90.00 degrees
Closest atoms and distances in Å follow each position.
Space group Amm2 (No. 38)
Unique sites:
Ag  0.0000  0.0000  0.0000 [2 per cell]  10 Pd 2.75-2.89, 2 As 2.87
As  0.0000  0.0000  0.5385 [2 per cell]  6 Pd 2.54-2.66
Pd  0.0000  0.2449  0.2567 [4 per cell]  1 As 2.54, 2 Ag 2.75-2.83, 5 Pd 2.77-2.80
Pd  0.2450  0.2439  0.5683 [8 per cell]  1 As 2.66, 1 Ag 2.76, 10 Pd 2.78-2.92
Pd  0.2528  0.0000  0.8206 [4 per cell]  11 Pd 2.77-2.85, 1 Ag 2.89
Pd  0.2536  0.0000  0.3163 [4 per cell]  11 Pd 2.77-2.85
Pd  0.5000  0.0000  0.1412 [2 per cell]  12 Pd 2.76-2.85
Pd  0.5000  0.0000  0.6445 [2 per cell]  12 Pd 2.79-2.85
Pd  0.5000  0.2490  0.3942 [4 per cell]  12 Pd 2.76-2.87

[5]
First-principles (PBE-GGA) data for an optimized crystal structure of AgAsPd3, as listed in Alexandria via LeMat-Bulk.

## Properties
The calculated volume comes out at 100.3 Å³/cell. Its energy above the most stable polymorph in this dataset is 0.299 eV/atom. The calculation puts the total moment at 0.00 Bohr magnetons per cell. The density of states at the Fermi level is 2.5 states/eV per cell.

Cell lengths 4.6459, 4.6459, 4.6459 Å; angles 90.00, 90.00, 90.00 degrees
Closest atoms and distances in Å follow each position.
Space group Pm-3m (No. 221)
Unique sites:
Ag  0.0000  0.0000  0.0000 [1 per cell]  12 Pd 3.29
As  0.5000  0.5000  0.5000 [1 per cell]  6 Pd 2.32
Pd  0.0000  0.5000  0.5000 [3 per cell]  2 As 2.32

[6]
First-principles (PBE-GGA) data for an optimized crystal structure of AgAsPd3, as listed in Alexandria via LeMat-Bulk.

## Properties
The calculated volume comes out at 115.5 Å³/cell. Its energy above the most stable polymorph in this dataset is 1.335 eV/atom. The calculation puts the total moment at 0.00 Bohr magnetons per cell. The density of states at the Fermi level is 6.1 states/eV per cell.

Cell lengths 4.8694, 4.8694, 4.8694 Å; angles 90.00, 90.00, 90.00 degrees
Closest atoms and distances in Å follow each position.
Space group Pm-3m (No. 221)
Unique sites:
Ag  0.0000  0.0000  0.0000 [1 per cell]  6 Pd 2.43
As  0.5000  0.5000  0.5000 [1 per cell]  12 Pd 3.44
Pd  0.0000  0.0000  0.5000 [3 per cell]  2 Ag 2.43

[7]
First-principles (PBE-GGA) data for an optimized crystal structure of AgAs2Pd2, as listed in Alexandria via LeMat-Bulk.

## Properties
The calculated volume comes out at 191.3 Å³/cell. Its energy above the most stable polymorph in this dataset is 0.165 eV/atom. The calculation puts the total moment at 0.00 Bohr magnetons per cell. The density of states at the Fermi level is 6.3 states/eV per cell.

Cell lengths 4.0673, 4.0673, 11.5640 Å; angles 90.00, 90.00, 90.00 degrees
Closest atoms and distances in Å follow each position.
Space group I4/mmm (No. 139)
Unique sites:
Ag  0.0000  0.0000  0.0000 [2 per cell]  8 Pd 3.18, 8 As 3.53
As  0.0000  0.5000  0.2500 [4 per cell]  4 Pd 2.55
Pd  0.0000  0.0000  0.3834 [4 per cell]  4 As 2.55, 1 Pd 2.70

[8]
First-principles (PBE-GGA) data for an optimized crystal structure of AgAsPd2, as listed in Alexandria via LeMat-Bulk.

## Properties
The calculated volume comes out at 133.2 Å³/cell. Its calculated total energy is -4.71 eV per atom. The calculation puts the total moment at 0.00 Bohr magnetons per cell. The density of states at the Fermi level is 3.1 states/eV per cell.

Cell lengths 3.3855, 7.3828, 5.5871 Å; angles 90.00, 107.48, 90.00 degrees
Closest atoms and distances in Å follow each position.
Space group P2_1/m (No. 11)
Unique sites:
Ag  0.0350  0.2500  0.0698 [2 per cell]  3 As 2.90-2.97, 8 Pd 2.92-2.96
As  0.2423  0.7500  0.4878 [2 per cell]  6 Pd 2.51-2.55
Pd  0.3639  0.0436  0.7269 [4 per cell]  3 As 2.51-2.55

[9]
First-principles (PBE-GGA) data for an optimized crystal structure of AgAs2Pd2, as listed in Alexandria via LeMat-Bulk.

## Properties
The calculated volume comes out at 188.0 Å³/cell. Its energy above the most stable polymorph in this dataset is 0.026 eV/atom. The calculation puts the total moment at 0.00 Bohr magnetons per cell. The density of states at the Fermi level is 5.0 states/eV per cell.

Cell lengths 4.4431, 4.4431, 9.5239 Å; angles 90.00, 90.00, 90.00 degrees
Closest atoms and distances in Å follow each position.
Space group I4/mmm (No. 139)
Unique sites:
Ag  0.0000  0.0000  0.0000 [2 per cell]  8 Pd 3.26, 10 As 3.37-3.55
As  0.0000  0.0000  0.3730 [4 per cell]  1 As 2.42, 4 Pd 2.51
Pd  0.0000  0.5000  0.2500 [4 per cell]  4 As 2.51

[10]
First-principles (PBE-GGA) data for an optimized crystal structure of Ag3AsPd, as listed in Alexandria via LeMat-Bulk.

## Properties
The calculated volume comes out at 125.4 Å³/cell. Its energy above the most stable polymorph in this dataset is 0.427 eV/atom. The calculation puts the total moment at 0.00 Bohr magnetons per cell. The density of states at the Fermi level is 3.8 states/eV per cell.

Cell lengths 5.0050, 5.0050, 5.0050 Å; angles 90.00, 90.00, 90.00 degrees
Closest atoms and distances in Å follow each position.
Space group Pm-3m (No. 221)
Unique sites:
Ag  0.0000  0.0000  0.5000 [3 per cell]  2 Pd 2.50
As  0.5000  0.5000  0.5000 [1 per cell]  12 Ag 3.54
Pd  0.0000  0.0000  0.0000 [1 per cell]  6 Ag 2.50

[11]
First-principles (PBE-GGA) data for an optimized crystal structure of AgAsPd3, as listed in Alexandria via LeMat-Bulk.

## Properties
The calculated volume comes out at 176.6 Å³/cell. Its energy above the most stable polymorph in this dataset is 0.026 eV/atom. The calculation puts the total moment at 0.00 Bohr magnetons per cell. The density of states at the Fermi level is 4.1 states/eV per cell.

Cell lengths 5.6347, 5.6525, 6.9459 Å; angles 70.10, 70.22, 60.22 degrees
Closest atoms and distances in Å follow each position.
Space group P1 (No. 1)
Unique sites:
Ag  0.0000  0.0000  0.0000 [1 per cell]  9 Pd 2.82-2.94
Ag  0.2393  0.2298  0.4486 [1 per cell]  1 As 2.70, 7 Pd 2.84-3.02
As  0.5298  0.5328  0.3439 [1 per cell]  6 Pd 2.45-2.56, 1 Ag 2.70
As  0.7436  0.7459  0.7774 [1 per cell]  6 Pd 2.38-2.51
Pd  0.2210  0.7082  0.6603 [1 per cell]  2 As 2.45
Pd  0.4686  0.9790  0.0822 [1 per cell]  2 As 2.49-2.50, 2 Pd 2.77
Pd  0.4830  0.4832  0.0187 [1 per cell]  2 As 2.44-2.48
Pd  0.7102  0.2205  0.6594 [1 per cell]  2 As 2.45-2.46
Pd  0.7709  0.7603  0.4241 [1 per cell]  2 As 2.38-2.56
Pd  0.9786  0.4679  0.0828 [1 per cell]  2 As 2.50-2.51, 2 Pd 2.77

[12]
First-principles (PBE-GGA) data for an optimized crystal structure of AgAsPd3, as listed in Alexandria via LeMat-Bulk.

## Properties
The calculated volume comes out at 166.4 Å³/cell. Its energy above the most stable polymorph in this dataset is 0.000 eV/atom. The calculation puts the total moment at 0.00 Bohr magnetons per cell. The density of states at the Fermi level is 5.4 states/eV per cell.

Cell lengths 4.8054, 5.6161, 6.4541 Å; angles 96.45, 96.16, 103.85 degrees
Closest atoms and distances in Å follow each position.
Space group P-1 (No. 2)
Unique sites:
Ag  0.0865  0.1866  0.2097 [2 per cell]  8 Pd 2.77-2.89, 1 As 2.89
As  0.3676  0.1887  0.6706 [2 per cell]  6 Pd 2.49-2.70
Pd  0.0705  0.6805  0.1977 [2 per cell]  2 As 2.58-2.64, 4 Pd 2.79-2.88, 3 Ag 2.80-2.89
Pd  0.3361  0.6471  0.6003 [2 per cell]  2 As 2.49-2.70, 1 Ag 2.77
Pd  0.5000  0.0000  0.0000 [1 per cell]  2 As 2.57, 2 Pd 2.81, 2 Ag 2.85
Pd  0.5000  0.5000  0.0000 [1 per cell]  2 As 2.51, 4 Pd 2.79-2.81